1.
# Sr2HgBr

A geometry-optimized Sr2HgBr structure (PBE-GGA, Alexandria).

Properties
* raw total energy: -9.0 eV per formula unit

Lattice parameters (Å, degrees): 8.971 8.971 8.971 153.97 152.54 38.20
Fractional coordinates of all 4 atoms:
Sr: 0.944 0.944 0.000
Sr: 0.712 0.212 0.500
Hg: 0.297 0.797 0.500
Br: 0.547 0.547 0.000

=====

2.
# BaY2Ta

A geometry-optimized BaY2Ta structure (PBE-GGA, Alexandria).

Properties
* energy of formation: 60.9 kJ per mole of atoms
* raw total energy: -24.2 eV per formula unit

Lattice parameters (Å, degrees): 12.110 12.110 12.110 16.29 16.29 16.29
Fractional coordinates of all 4 atoms:
Ba: 0.491 0.491 0.491
Ta: 0.744 0.744 0.744
Y: 0.009 0.009 0.009
Y: 0.256 0.256 0.256

=====

3.
# CaY2Ho

A geometry-optimized CaY2Ho structure (PBE-GGA, Alexandria).

Properties
* energy of formation: 13.1 kJ per mole of atoms
* raw total energy: -19.0 eV per formula unit

Lattice parameters (Å, degrees): 5.094 5.128 5.128 90.00 90.00 90.00
Fractional coordinates of all 4 atoms:
Y: 0.000 0.000 0.500
Y: 0.000 0.500 0.000
Ca: 0.500 0.000 0.000
Ho: 0.500 0.500 0.500

=====

Calculated density values, unit g/cm³, following the record order: 5.19 6.76 4.75.
ΔE to the lowest computed polymorph values, unit meV per atom, following the record order: 88 252 119.
Density of states at the Fermi level values, unit states/eV/atom, following the record order: 0.8243 1.4241 1.8815.